Density functional theory data (PBE-GGA) for a relaxed ThScCo2 crystal.

symmetry = No. 13
total moment = 0.00 μB/f.u.
calculated total energy = -7.160 eV/atom
relative energy among the computed polymorphs = 0.136 eV/atom

Structure (CIF):
```
data_ThScCo2
_chemical_formula_sum 'Th4 Sc4 Co8'
_space_group_name_H-M_alt 'P 1'
_space_group_IT_number 1
_space_group_name_Hall 'P 1'
_cell_length_a 5.350
_cell_length_b 5.390
_cell_length_c 10.398
_cell_angle_alpha 96.37
_cell_angle_beta 90.00
_cell_angle_gamma 90.00
loop_
_atom_site_label
_atom_site_fract_x
_atom_site_fract_y
_atom_site_fract_z
_atom_site_occupancy
Co1 0.739 0.910 0.346 1
Co2 0.649 0.464 0.609 1
Co3 0.739 0.590 0.154 1
Co4 0.351 0.536 0.391 1
Co5 0.649 0.036 0.891 1
Co6 0.261 0.090 0.654 1
Co7 0.261 0.410 0.846 1
Co8 0.351 0.964 0.109 1
Th1 0.731 0.515 0.879 1
Th2 0.269 0.015 0.379 1
Th3 0.269 0.485 0.121 1
Th4 0.731 0.985 0.621 1
Sc1 0.178 0.937 0.880 1
Sc2 0.822 0.063 0.120 1
Sc3 0.178 0.563 0.620 1
Sc4 0.822 0.437 0.380 1
```

Density functional theory data (PBE-GGA) for a relaxed Hf2Sn2Sb crystal.

symmetry = No. 127
total moment = 0.00 μB/f.u.
calculated total energy = -6.638 eV/atom
relative energy among the computed polymorphs = 0.000 eV/atom
formation energy from raw total energies = -1.16 eV per formula unit

Structure (CIF):
```
data_Hf2Sn2Sb
_chemical_formula_sum 'Hf4 Sn4 Sb2'
_space_group_name_H-M_alt 'P 1'
_space_group_IT_number 1
_space_group_name_Hall 'P 1'
_cell_length_a 7.556
_cell_length_b 7.556
_cell_length_c 4.190
_cell_angle_alpha 90.00
_cell_angle_beta 90.00
_cell_angle_gamma 90.00
loop_
_atom_site_label
_atom_site_fract_x
_atom_site_fract_y
_atom_site_fract_z
_atom_site_occupancy
Sn1 0.653 0.847 0.500 1
Sn2 0.847 0.347 0.500 1
Sn3 0.153 0.653 0.500 1
Sn4 0.347 0.153 0.500 1
Sb1 0.500 0.500 0.000 1
Sb2 0.000 0.000 0.000 1
Hf1 0.648 0.148 0.000 1
Hf2 0.148 0.352 0.000 1
Hf3 0.352 0.852 0.000 1
Hf4 0.852 0.648 0.000 1
```

Density functional theory data (PBE-GGA) for a relaxed SrTePt2 crystal.

symmetry = No. 65
total moment = 0.00 μB/f.u.
calculated total energy = -4.622 eV/atom
relative energy among the computed polymorphs = 0.307 eV/atom
formation energy from raw total energies = -1.58 eV per formula unit

Structure (CIF):
```
data_SrTePt2
_chemical_formula_sum 'Sr1 Te1 Pt2'
_space_group_name_H-M_alt 'P 1'
_space_group_IT_number 1
_space_group_name_Hall 'P 1'
_cell_length_a 7.440
_cell_length_b 4.705
_cell_length_c 3.986
_cell_angle_alpha 89.96
_cell_angle_beta 57.67
_cell_angle_gamma 124.34
loop_
_atom_site_label
_atom_site_fract_x
_atom_site_fract_y
_atom_site_fract_z
_atom_site_occupancy
Pt1 0.000 0.000 0.000 1
Pt2 0.500 0.000 0.500 1
Sr1 0.000 0.500 0.500 1
Te1 0.500 0.500 0.000 1
```

Density functional theory data (PBE-GGA) for a relaxed Pr12HgPd6 crystal.

symmetry = No. 148
total moment = 0.00 μB/f.u.
calculated total energy = -5.037 eV/atom

Structure (CIF):
```
data_Pr12HgPd6
_chemical_formula_sum 'Pr12 Hg1 Pd6'
_space_group_name_H-M_alt 'P 1'
_space_group_IT_number 1
_space_group_name_Hall 'P 1'
_cell_length_a 8.825
_cell_length_b 8.825
_cell_length_c 8.825
_cell_angle_alpha 103.47
_cell_angle_beta 103.47
_cell_angle_gamma 103.47
loop_
_atom_site_label
_atom_site_fract_x
_atom_site_fract_y
_atom_site_fract_z
_atom_site_occupancy
Pr1 0.831 0.592 0.441 1
Pr2 0.559 0.169 0.408 1
Pr3 0.441 0.831 0.592 1
Pr4 0.592 0.441 0.831 1
Pr5 0.071 0.670 0.923 1
Pr6 0.169 0.408 0.559 1
Pr7 0.929 0.330 0.077 1
Pr8 0.408 0.559 0.169 1
Pr9 0.077 0.929 0.330 1
Pr10 0.923 0.071 0.670 1
Pr11 0.670 0.923 0.071 1
Pr12 0.330 0.077 0.929 1
Hg1 0.000 0.000 0.000 1
Pd1 0.145 0.618 0.322 1
Pd2 0.382 0.678 0.855 1
Pd3 0.855 0.382 0.678 1
Pd4 0.618 0.322 0.145 1
Pd5 0.322 0.145 0.618 1
Pd6 0.678 0.855 0.382 1
```

Density functional theory data (PBE-GGA) for a relaxed NiMo2Os crystal.

symmetry = No. 10
total moment = 0.00 μB/f.u.
calculated total energy = -9.637 eV/atom
relative energy among the computed polymorphs = 0.042 eV/atom

Structure (CIF):
```
data_NiMo2Os
_chemical_formula_sum 'Ni1 Mo2 Os1'
_space_group_name_H-M_alt 'P 1'
_space_group_IT_number 1
_space_group_name_Hall 'P 1'
_cell_length_a 3.888
_cell_length_b 2.742
_cell_length_c 6.035
_cell_angle_alpha 62.98
_cell_angle_beta 90.00
_cell_angle_gamma 90.00
loop_
_atom_site_label
_atom_site_fract_x
_atom_site_fract_y
_atom_site_fract_z
_atom_site_occupancy
Ni1 0.500 0.250 0.250 1
Os1 0.500 0.750 0.750 1
Mo1 0.000 0.997 0.001 1
Mo2 0.000 0.503 0.499 1
```

Density functional theory data (PBE-GGA) for a relaxed YTmPb crystal.

symmetry = No. 107
total moment = 1.18 μB/f.u.
calculated total energy = -4.609 eV/atom

Structure (CIF):
```
data_YTmPb
_chemical_formula_sum 'Y1 Tm1 Pb1'
_space_group_name_H-M_alt 'P 1'
_space_group_IT_number 1
_space_group_name_Hall 'P 1'
_cell_length_a 3.350
_cell_length_b 3.350
_cell_length_c 9.174
_cell_angle_alpha 100.52
_cell_angle_beta 100.52
_cell_angle_gamma 90.00
loop_
_atom_site_label
_atom_site_fract_x
_atom_site_fract_y
_atom_site_fract_z
_atom_site_occupancy
Y1 0.945 0.945 0.889 1
Pb1 0.769 0.769 0.537 1
Tm1 0.137 0.137 0.274 1
```

Density functional theory data (PBE-GGA) for a relaxed KB2Pd2 crystal.

symmetry = No. 127
total moment = 0.00 μB/f.u.
calculated total energy = -4.385 eV/atom
relative energy among the computed polymorphs = 0.369 eV/atom

Structure (CIF):
```
data_KB2Pd2
_chemical_formula_sum 'K2 B4 Pd4'
_space_group_name_H-M_alt 'P 1'
_space_group_IT_number 1
_space_group_name_Hall 'P 1'
_cell_length_a 7.383
_cell_length_b 7.383
_cell_length_c 2.820
_cell_angle_alpha 90.00
_cell_angle_beta 90.00
_cell_angle_gamma 90.00
loop_
_atom_site_label
_atom_site_fract_x
_atom_site_fract_y
_atom_site_fract_z
_atom_site_occupancy
Pd1 0.645 0.145 0.000 1
Pd2 0.145 0.355 0.000 1
Pd3 0.855 0.645 0.000 1
Pd4 0.355 0.855 0.000 1
B1 0.913 0.413 0.500 1
B2 0.413 0.087 0.500 1
B3 0.587 0.913 0.500 1
B4 0.087 0.587 0.500 1
K1 0.500 0.500 0.000 1
K2 0.000 0.000 0.000 1
```

Density functional theory data (PBE-GGA) for a relaxed DyYEr4 crystal.

symmetry = No. 15
total moment = 0.00 μB/f.u.
calculated total energy = -4.741 eV/atom
relative energy among the computed polymorphs = 0.124 eV/atom

Structure (CIF):
```
data_DyYEr4
_chemical_formula_sum 'Dy2 Y2 Er8'
_space_group_name_H-M_alt 'P 1'
_space_group_IT_number 1
_space_group_name_Hall 'P 1'
_cell_length_a 6.415
_cell_length_b 8.838
_cell_length_c 8.487
_cell_angle_alpha 112.09
_cell_angle_beta 100.30
_cell_angle_gamma 112.49
loop_
_atom_site_label
_atom_site_fract_x
_atom_site_fract_y
_atom_site_fract_z
_atom_site_occupancy
Er1 0.805 0.427 0.260 1
Er2 0.195 0.573 0.740 1
Er3 0.955 0.833 0.260 1
Er4 0.045 0.167 0.740 1
Er5 0.363 0.898 0.609 1
Er6 0.746 0.711 0.609 1
Er7 0.254 0.289 0.391 1
Er8 0.637 0.102 0.391 1
Y1 0.664 0.414 0.828 1
Y2 0.336 0.586 0.172 1
Dy1 0.750 0.000 0.000 1
Dy2 0.250 0.000 0.000 1
```

Density functional theory data (PBE-GGA) for a relaxed HoTm2Mg2 crystal.

symmetry = No. 139
total moment = 0.00 μB/f.u.
calculated total energy = -3.027 eV/atom
relative energy among the computed polymorphs = 0.372 eV/atom

Structure (CIF):
```
data_HoTm2Mg2
_chemical_formula_sum 'Ho2 Tm4 Mg4'
_space_group_name_H-M_alt 'P 1'
_space_group_IT_number 1
_space_group_name_Hall 'P 1'
_cell_length_a 4.472
_cell_length_b 4.472
_cell_length_c 15.395
_cell_angle_alpha 98.35
_cell_angle_beta 98.35
_cell_angle_gamma 90.00
loop_
_atom_site_label
_atom_site_fract_x
_atom_site_fract_y
_atom_site_fract_z
_atom_site_occupancy
Tm1 0.173 0.173 0.346 1
Tm2 0.000 0.500 0.000 1
Tm3 0.827 0.827 0.654 1
Tm4 0.500 0.000 0.000 1
Mg1 0.075 0.075 0.149 1
Mg2 0.750 0.250 0.500 1
Mg3 0.250 0.750 0.500 1
Mg4 0.925 0.925 0.851 1
Ho1 0.613 0.613 0.225 1
Ho2 0.387 0.387 0.775 1
```

Density functional theory data (PBE-GGA) for a relaxed Zr2TlRh crystal.

symmetry = No. 123
total moment = 0.00 μB/f.u.
calculated total energy = -7.080 eV/atom

Structure (CIF):
```
data_Zr2TlRh
_chemical_formula_sum 'Zr2 Tl1 Rh1'
_space_group_name_H-M_alt 'P 1'
_space_group_IT_number 1
_space_group_name_Hall 'P 1'
_cell_length_a 3.133
_cell_length_b 3.133
_cell_length_c 8.315
_cell_angle_alpha 90.00
_cell_angle_beta 90.00
_cell_angle_gamma 90.05
loop_
_atom_site_label
_atom_site_fract_x
_atom_site_fract_y
_atom_site_fract_z
_atom_site_occupancy
Tl1 0.500 0.500 0.750 1
Zr1 0.000 0.000 0.033 1
Zr2 0.000 0.000 0.467 1
Rh1 0.500 0.500 0.250 1
```

Density functional theory data (PBE-GGA) for a relaxed Rb2NpVN4 crystal.

symmetry = No. 31
total moment = 2.00 μB/f.u.
calculated total energy = -7.641 eV/atom
formation energy from raw total energies = -3.83 eV per formula unit

Structure (CIF):
```
data_Rb2NpVN4
_chemical_formula_sum 'Rb4 Np2 V2 N8'
_space_group_name_H-M_alt 'P 1'
_space_group_IT_number 1
_space_group_name_Hall 'P 1'
_cell_length_a 6.034
_cell_length_b 7.788
_cell_length_c 6.791
_cell_angle_alpha 90.00
_cell_angle_beta 90.00
_cell_angle_gamma 90.00
loop_
_atom_site_label
_atom_site_fract_x
_atom_site_fract_y
_atom_site_fract_z
_atom_site_occupancy
N1 0.454 0.738 0.734 1
N2 0.796 0.901 0.500 1
N3 0.454 0.738 0.266 1
N4 0.296 0.099 0.000 1
N5 0.841 0.947 0.000 1
N6 0.954 0.262 0.234 1
N7 0.954 0.262 0.766 1
N8 0.341 0.053 0.500 1
V1 0.001 0.146 0.000 1
V2 0.501 0.854 0.500 1
Rb1 0.977 0.649 0.248 1
Rb2 0.977 0.649 0.752 1
Rb3 0.477 0.351 0.252 1
Rb4 0.477 0.351 0.748 1
Np1 0.999 0.112 0.500 1
Np2 0.499 0.888 0.000 1
```

Density functional theory data (PBE-GGA) for a relaxed DyYPt2 crystal.

symmetry = No. 160
total moment = 0.00 μB/f.u.
calculated total energy = -6.871 eV/atom
relative energy among the computed polymorphs = 0.187 eV/atom

Structure (CIF):
```
data_DyYPt2
_chemical_formula_sum 'Dy1 Y1 Pt2'
_space_group_name_H-M_alt 'P 1'
_space_group_IT_number 1
_space_group_name_Hall 'P 1'
_cell_length_a 4.029
_cell_length_b 4.029
_cell_length_c 7.261
_cell_angle_alpha 73.89
_cell_angle_beta 73.89
_cell_angle_gamma 60.00
loop_
_atom_site_label
_atom_site_fract_x
_atom_site_fract_y
_atom_site_fract_z
_atom_site_occupancy
Pt1 0.084 0.084 0.748 1
Pt2 0.249 0.249 0.252 1
Dy1 0.669 0.669 0.992 1
Y1 0.497 0.497 0.508 1
```